A plane-wave DFT calculation with meta-GGA SCAN was carried out for a crystal of MnSiAg2 relaxed with PBEsol.

The total magnetization comes out at 3.67 μB per formula unit. The value obtained for the uncorrected formation energy is 0.1347 eV per atom. Its density of states at the Fermi level is 3.5 states/eV per cell.

The space group is Imm2 (No. 44) and the conventional cell measures 2.8942, 4.5992 and 8.9577 Å, with angles of 90.00, 90.00 and 90.00 degrees. The inequivalent atoms are Mn at (0.0000, 0.0000, 0.0000), Si at (0.0000, 0.5000, 0.7119), Ag at (0.0000, 0.0000, 0.4500) and Ag at (0.0000, 0.5000, 0.2297).